Entry from Alexandria: a relaxed structure of Re4TcTe (PBEsol).

Values from the calculation:
Formation energy without anion corrections, eV/atom: 0.8395
VASP energy, eV per atom: -10.51
Crystal system: cubic
ρ, g cm⁻³: 16.278

Cell: 5.193 5.193 5.193 Å, 60.00 60.00 60.00°
Positions (direct):
Re 0.125 0.125 0.125
Re 0.125 0.125 0.625
Re 0.125 0.625 0.125
Re 0.625 0.125 0.125
Tc 0.750 0.750 0.750
Te 0.500 0.500 0.500

***

Entry from Alexandria: a relaxed structure of CrInPb2 (PBEsol).

Values from the calculation:
VASP energy, eV per atom: -4.96
Crystal system: tetragonal
ρ, g cm⁻³: 10.096

Cell: 3.343 3.343 8.555 Å, 90.00 90.00 90.00°
Positions (direct):
Cr 0.000 0.000 0.000
In 0.500 0.500 0.189
Pb 0.000 0.000 0.466
Pb 0.500 0.500 0.780

***

Entry from Alexandria: a relaxed structure of Ga3Rh (PBEsol).

Values from the calculation:
VASP energy, eV per atom: -4.98
Crystal system: tetragonal
ρ, g cm⁻³: 7.631

Cell: 6.456 6.456 6.517 Å, 90.00 90.00 90.00°
Positions (direct):
Ga 0.000 0.500 0.000
Ga 0.000 0.500 0.500
Ga 0.145 0.145 0.249
Ga 0.145 0.145 0.751
Ga 0.355 0.645 0.251
Ga 0.355 0.645 0.749
Ga 0.500 0.000 0.000
Ga 0.500 0.000 0.500
Ga 0.645 0.355 0.251
Ga 0.645 0.355 0.749
Ga 0.855 0.855 0.249
Ga 0.855 0.855 0.751
Rh 0.158 0.842 0.500
Rh 0.342 0.342 0.000
Rh 0.658 0.658 0.000
Rh 0.842 0.158 0.500

***

Entry from Alexandria: a relaxed structure of LiZr2Cu (PBEsol).

Values from the calculation:
Energy relative to the lowest polymorph listed for this composition, meV per atom: 280
VASP energy, eV per atom: -5.72
Crystal system: cubic
ρ, g cm⁻³: 5.971

Cell: 4.633 4.633 4.633 Å, 60.00 60.00 60.00°
Positions (direct):
Li 0.000 0.000 0.000
Zr 0.500 0.500 0.500
Zr 0.750 0.750 0.750
Cu 0.250 0.250 0.250

***

Entry from Alexandria: a relaxed structure of YMgSc2Cl (PBEsol).

Values from the calculation:
Formation energy without anion corrections, eV/atom: -0.4712
VASP energy, eV per atom: -5.22
Crystal system: tetragonal
ρ, g cm⁻³: 3.364

Cell: 4.808 4.808 5.094 Å, 90.00 90.00 90.00°
Positions (direct):
Y 0.000 0.000 0.000
Mg 0.500 0.500 0.000
Sc 0.000 0.500 0.500
Sc 0.500 0.000 0.500
Cl 0.000 0.000 0.500

***

Entry from Alexandria: a relaxed structure of Tl2PbAu (PBEsol).

Values from the calculation:
VASP energy, eV per atom: -3.26
Crystal system: monoclinic
ρ, g cm⁻³: 12.797

Cell: 3.609 3.609 9.535 Å, 102.45 102.45 61.32°
Positions (direct):
Tl 0.000 0.000 0.000
Tl 0.248 0.248 0.722
Pb 0.763 0.763 0.289
Au 0.506 0.506 0.506

***

Entry from Alexandria: a relaxed structure of ZrRu2Br (PBEsol).

Values from the calculation:
Energy relative to the lowest polymorph listed for this composition, meV per atom: 0
Formation energy without anion corrections, eV/atom: 0.2519
VASP energy, eV per atom: -7.57
Crystal system: orthorhombic
ρ, g cm⁻³: 9.699

Cell: 5.346 5.346 5.346 Å, 146.31 130.42 61.29°
Positions (direct):
Zr 0.000 0.000 0.000
Ru 0.474 0.474 0.000
Ru 0.723 0.223 0.500
Br 0.249 0.749 0.500

***

Entry from Alexandria: a relaxed structure of ZnAsO3 (PBEsol).

Values from the calculation:
Formation energy without anion corrections, eV/atom: -0.2025
VASP energy, eV per atom: -4.69
Crystal system: cubic
ρ, g cm⁻³: 5.854

Cell: 3.766 3.766 3.766 Å, 90.00 90.00 90.00°
Positions (direct):
Zn 0.000 0.000 0.000
As 0.500 0.500 0.500
O 0.000 0.000 0.500
O 0.000 0.500 0.000
O 0.500 0.000 0.000

***

Entry from Alexandria: a relaxed structure of Y3NiAs (PBEsol).

Values from the calculation:
VASP energy, eV per atom: -6.26
Crystal system: cubic
ρ, g cm⁻³: 4.568

Cell: 5.260 5.260 5.260 Å, 90.00 90.00 90.00°
Positions (direct):
Y 0.000 0.000 0.500
Y 0.000 0.500 0.000
Y 0.500 0.000 0.000
Ni 0.500 0.500 0.500
As 0.000 0.000 0.000

***

Entry from Alexandria: a relaxed structure of Sr2ZrBr (PBEsol).

Values from the calculation:
Energy relative to the lowest polymorph listed for this composition, meV per atom: 0
Formation energy without anion corrections, eV/atom: -0.1603
VASP energy, eV per atom: -3.82
Crystal system: monoclinic
ρ, g cm⁻³: 4.635

Cell: 6.924 6.924 5.909 Å, 115.13 115.13 29.17°
Positions (direct):
Sr 0.000 0.000 0.000
Sr 0.196 0.196 0.695
Zr 0.777 0.777 0.276
Br 0.466 0.466 0.466

***

Entry from Alexandria: a relaxed structure of Sr2Si2Ge (PBEsol).

Values from the calculation:
Formation energy without anion corrections, eV/atom: -0.2646
VASP energy, eV per atom: -4.29
Crystal system: tetragonal
ρ, g cm⁻³: 4.128

Cell: 9.843 9.843 9.843 Å, 159.01 159.01 29.86°
Positions (direct):
Sr 0.105 0.105 0.000
Sr 0.895 0.895 0.000
Si 0.250 0.750 0.500
Si 0.750 0.250 0.500
Ge 0.500 0.500 0.000

***

Entry from Alexandria: a relaxed structure of MnHI2O (PBEsol).

Values from the calculation:
VASP energy, eV per atom: -3.89
Crystal system: tetragonal
ρ, g cm⁻³: 6.114

Cell: 5.545 5.545 2.877 Å, 90.00 90.00 90.00°
Positions (direct):
Mn 0.000 0.000 0.000
H 0.500 0.500 0.500
I 0.000 0.500 0.500
I 0.500 0.000 0.500
O 0.500 0.500 0.000